Y2GaMo2: relaxed, PBE.

Lattice parameters (Å, degrees): 7.6029 7.6029 3.7833 90.00 90.00 90.00
Fractional coordinates of all 10 atoms:
1 Y 0.1425 0.3575 0.0000
2 Y 0.3575 0.8575 0.0000
3 Y 0.6425 0.1425 0.0000
4 Y 0.8575 0.6425 0.0000
5 Ga 0.0000 0.0000 0.0000
6 Ga 0.5000 0.5000 0.0000
7 Mo 0.1650 0.6650 0.5000
8 Mo 0.3350 0.1650 0.5000
9 Mo 0.6650 0.8350 0.5000
10 Mo 0.8350 0.3350 0.5000

Results
VASP energy ... -67.7 eV/cell
Distance to the lowest polymorph of the same formula ... 0.719 eV per atom
Energy of formation ... 0.756 eV/atom
Symmetry ... P4/mbm (127)



YGa40Mo8: relaxed, PBE.

Lattice parameters (Å, degrees): 9.6197 9.6197 9.6197 94.28 94.28 94.28
Fractional coordinates of all 49 atoms:
1 Y 0.0000 0.0000 0.0000
2 Ga 0.0000 0.5000 0.5000
3 Ga 0.0407 0.7172 0.8615
4 Ga 0.0427 0.2170 0.4098
5 Ga 0.0712 0.4439 0.7776
6 Ga 0.1192 0.1654 0.6997
7 Ga 0.1385 0.9593 0.2828
8 Ga 0.1654 0.6997 0.1192
9 Ga 0.2170 0.4098 0.0427
10 Ga 0.2224 0.9288 0.5561
11 Ga 0.2329 0.4726 0.3340
12 Ga 0.2601 0.6447 0.6164
13 Ga 0.2828 0.1385 0.9593
14 Ga 0.3003 0.8808 0.8346
15 Ga 0.3340 0.2329 0.4726
16 Ga 0.3553 0.3836 0.7399
17 Ga 0.3836 0.7399 0.3553
18 Ga 0.4098 0.0427 0.2170
19 Ga 0.4439 0.7776 0.0712
20 Ga 0.4726 0.3340 0.2329
21 Ga 0.5000 0.0000 0.5000
22 Ga 0.5000 0.5000 0.0000
23 Ga 0.5000 0.5000 0.5000
24 Ga 0.5274 0.6660 0.7671
25 Ga 0.5561 0.2224 0.9288
26 Ga 0.5902 0.9573 0.7830
27 Ga 0.6164 0.2601 0.6447
28 Ga 0.6447 0.6164 0.2601
29 Ga 0.6660 0.7671 0.5274
30 Ga 0.6997 0.1192 0.1654
31 Ga 0.7172 0.8615 0.0407
32 Ga 0.7399 0.3553 0.3836
33 Ga 0.7671 0.5274 0.6660
34 Ga 0.7776 0.0712 0.4439
35 Ga 0.7830 0.5902 0.9573
36 Ga 0.8346 0.3003 0.8808
37 Ga 0.8615 0.0407 0.7172
38 Ga 0.8808 0.8346 0.3003
39 Ga 0.9288 0.5561 0.2224
40 Ga 0.9573 0.7830 0.5902
41 Ga 0.9593 0.2828 0.1385
42 Mo 0.1126 0.7118 0.3911
43 Mo 0.2123 0.2123 0.2123
44 Mo 0.2882 0.6089 0.8874
45 Mo 0.3911 0.1126 0.7118
46 Mo 0.6089 0.8874 0.2882
47 Mo 0.7118 0.3911 0.1126
48 Mo 0.7877 0.7877 0.7877
49 Mo 0.8874 0.2882 0.6089

Results
VASP energy ... -222.1 eV/cell
Energy of formation ... -0.161 eV/atom
Symmetry ... R-3 (148)



YZrGa2Mo: relaxed, PBE.

Lattice parameters (Å, degrees): 5.1282 5.1282 4.7983 90.00 90.00 90.00
Fractional coordinates of all 5 atoms:
1 Y 0.0000 0.0000 0.0000
2 Zr 0.5000 0.5000 0.5000
3 Ga 0.0000 0.5000 0.5000
4 Ga 0.5000 0.0000 0.5000
5 Mo 0.5000 0.5000 0.0000

Results
VASP energy ... -28.8 eV/cell
Energy of formation ... 0.626 eV/atom
Symmetry ... P4/mmm (123)